# 1
{
  "formula": "Sr2Ir",
  "functional": "PBE",
  "state": "relaxed",
  "m_tot_mub_per_cell": 0.00,
  "rho_g_cm3": 5.33,
  "space_group": "P-3m1",
  "formation_energy_ev_per_fu": 0.04,
  "lattice": [[4.419, 0.000, 0.000], [-2.210, 3.827, 0.000], [0.000, 0.000, 6.762]],
  "species": ["Sr", "Sr", "Ir"],
  "fractional_positions": [[0.333, 0.667, 0.277], [0.667, 0.333, 0.723], [0.000, 0.000, 0.500]]
}

---

# 2
{
  "formula": "SrIr3",
  "functional": "PBE",
  "state": "relaxed",
  "m_tot_mub_per_cell": 0.00,
  "rho_g_cm3": 14.58,
  "space_group": "Pmmm",
  "formation_energy_ev_per_fu": 1.12,
  "lattice": [[2.825, 0.000, 0.000], [0.000, 3.675, 0.000], [0.000, 0.000, 7.288]],
  "species": ["Sr", "Ir", "Ir", "Ir"],
  "fractional_positions": [[0.000, 0.000, 0.000], [0.000, 0.000, 0.500], [0.500, 0.500, 0.315], [0.500, 0.500, 0.685]]
}

---

# 3
{
  "formula": "Sr3Ir4",
  "functional": "PBE",
  "state": "relaxed",
  "m_tot_mub_per_cell": 0.00,
  "rho_g_cm3": 10.04,
  "space_group": "P6/mmm",
  "formation_energy_ev_per_fu": 6.02,
  "lattice": [[6.444, 0.000, 0.000], [-3.222, 5.581, 0.000], [0.000, 0.000, 4.745]],
  "species": ["Sr", "Sr", "Sr", "Ir", "Ir", "Ir", "Ir"],
  "fractional_positions": [[0.000, 0.500, 0.000], [0.500, 0.000, 0.000], [0.500, 0.500, 0.000], [0.000, 0.000, 0.249], [0.000, 0.000, 0.751], [0.333, 0.667, 0.500], [0.667, 0.333, 0.500]]
}